Record 1
This record from Alexandria via LeMat-Bulk describes a geometry-optimized PrMgPt structure. The functional is PBE-GGA.

Computed properties:
* energy of formation: -2.676 eV per formula unit
* D(E_F): 0.737 states/eV/atom
* theoretical density: 8.60 Mg/m³

Cell: 7.6274 7.6274 4.1447 Å, 90.00 90.00 120.00°
With the nearest neighbours (Å) after each atom.
Space group P-62m (No. 189)
Unique sites:
Pr1 0.0000 0.5869 0.0000 (multiplicity 3)  5 Pt 3.10-3.15, 6 Mg 3.37-3.44
Mg1 0.0000 0.2393 0.5000 (multiplicity 3)  4 Pt 2.76-2.97
Pt1 0.0000 0.0000 0.0000 (multiplicity 1)  6 Mg 2.76
Pt2 0.3333 0.6667 0.5000 (multiplicity 2)  3 Mg 2.97, 6 Pr 3.10

Record 2
This record from Alexandria via LeMat-Bulk describes a geometry-optimized Li2PaCrS4 structure. The functional is PBE-GGA.

Computed properties:
* ΔE_f (raw): -1.2231 eV per atom
* D(E_F): 0.744 states/eV/atom
* theoretical density: 4.73 Mg/m³

Cell: 6.3397 3.8119 6.5118 Å, 90.00 108.52 90.00°
With the nearest neighbours (Å) after each atom.
Space group P2/m (No. 10)
Unique sites:
Li1 0.0000 0.0000 0.0000 (multiplicity 1)  6 S 2.66-2.75
Li2 0.5000 0.5000 0.0000 (multiplicity 1)  6 S 2.58-2.63
Pa1 0.0000 0.5000 0.5000 (multiplicity 1)  6 S 2.64-2.72
Cr1 0.5000 0.0000 0.5000 (multiplicity 1)  6 S 2.56-2.60
S1 0.2629 0.0000 0.7532 (multiplicity 2)  1 Cr 2.56, 3 Li 2.63-2.66, 2 Pa 2.72
S2 0.2684 0.5000 0.2615 (multiplicity 2)  3 Li 2.58-2.75, 2 Cr 2.60, 1 Pa 2.64

Record 3
This record from Alexandria via LeMat-Bulk describes a geometry-optimized InTcPb2 structure. The functional is PBE-GGA.

Computed properties:
* energy of formation: 2.871 eV per formula unit
* D(E_F): 0.784 states/eV/atom
* theoretical density: 10.80 Mg/m³

Cell: 7.2794 7.2794 7.2794 Å, 90.00 90.00 90.00°
With the nearest neighbours (Å) after each atom.
Space group F-43m (No. 216)
Unique sites:
In1 0.0000 0.0000 0.0000 (multiplicity 4)  4 Pb 3.15, 4 Tc 3.15
Tc1 0.2500 0.2500 0.7500 (multiplicity 4)  4 In 3.15, 4 Pb 3.15
Pb1 0.0000 0.0000 0.5000 (multiplicity 4)  4 Pb 3.15, 4 Tc 3.15
Pb2 0.2500 0.2500 0.2500 (multiplicity 4)  4 In 3.15, 4 Pb 3.15

Record 4
This record from Alexandria via LeMat-Bulk describes a geometry-optimized NaTl4Cd3F12 structure. The functional is PBE-GGA.

Computed properties:
* ΔE_f (raw): -1.9855 eV per atom
* D(E_F): 1.219 states/eV/atom
* theoretical density: 6.56 Mg/m³

Cell: 8.9301 8.9301 8.9301 Å, 90.00 90.00 90.00°
With the nearest neighbours (Å) after each atom.
Space group Im-3m (No. 229)
Unique sites:
Na1 0.0000 0.0000 0.0000 (multiplicity 2)  6 F 2.28
Tl1 0.2500 0.2500 0.2500 (multiplicity 8)  12 F 3.16
Cd1 0.0000 0.0000 0.5000 (multiplicity 6)  6 F 2.18-2.23
F1 0.0000 0.0000 0.2556 (multiplicity 12)  1 Cd 2.18, 1 Na 2.28
F2 0.0000 0.2500 0.5000 (multiplicity 12)  2 Cd 2.23

Record 5
This record from Alexandria via LeMat-Bulk describes a geometry-optimized ScTiAs2Br structure. The functional is PBE-GGA.

Computed properties:
* ΔE_f (raw): -0.2525 eV per atom
* D(E_F): 0.651 states/eV/atom
* excess energy over the best structure of this formula in the dataset: 0 meV per atom
* theoretical density: 4.47 Mg/m³

Cell: 4.9183 4.9183 4.9495 Å, 90.00 90.00 90.00°
With the nearest neighbours (Å) after each atom.
Space group P4/mmm (No. 123)
Unique sites:
Sc1 0.0000 0.0000 0.0000 (multiplicity 1)  4 Br 3.48, 8 As 3.49
Ti1 0.5000 0.5000 0.5000 (multiplicity 1)  4 As 2.46, 2 Br 2.47
As1 0.0000 0.5000 0.5000 (multiplicity 2)  2 Ti 2.46
Br1 0.5000 0.5000 0.0000 (multiplicity 1)  2 Ti 2.47

Record 6
This record from Alexandria via LeMat-Bulk describes a geometry-optimized CdPb2Cl6 structure. The functional is PBE-GGA.

Computed properties:
* ΔE_f (raw): -1.1157 eV per atom
* D(E_F): 0.000 states/eV/atom
* excess energy over the best structure of this formula in the dataset: 14 meV per atom
* theoretical density: 4.33 Mg/m³

Cell: 6.6326 6.6326 12.8858 Å, 90.00 90.00 90.00°
With the nearest neighbours (Å) after each atom.
Space group P4_2/mnm (No. 136)
Unique sites:
Cd1 0.0000 0.0000 0.0000 (multiplicity 2)  6 Cl 2.67-2.70
Pb1 0.0000 0.0000 0.3341 (multiplicity 4)  6 Cl 2.91-2.92
Cl1 0.1892 0.1892 0.1548 (multiplicity 8)  1 Cd 2.67, 2 Pb 2.91-2.92
Cl2 0.2119 0.2119 0.5000 (multiplicity 4)  1 Cd 2.70, 2 Pb 2.92

Record 7
This record from Alexandria via LeMat-Bulk describes a geometry-optimized Hf4BiN structure. The functional is PBE-GGA.

Computed properties:
* ΔE_f (raw): -0.4717 eV per atom
* D(E_F): 0.686 states/eV/atom
* theoretical density: 12.60 Mg/m³

Cell: 7.8437 12.9126 5.5475 Å, 90.00 118.46 90.00°
With the nearest neighbours (Å) after each atom.
Space group C2/c (No. 15)
Unique sites:
Hf1 0.1268 0.2080 0.1277 (multiplicity 8)  1 N 2.32
Hf2 0.1801 0.0562 0.6928 (multiplicity 8)  2 N 2.18-2.25
Bi1 0.0000 0.3992 0.7500 (multiplicity 4)  8 Hf 2.96-3.12
N1 0.0000 0.0673 0.2500 (multiplicity 4)  6 Hf 2.18-2.32

Record 8
This record from Alexandria via LeMat-Bulk describes a geometry-optimized NdTlGeSe4 structure. The functional is PBE-GGA.

Computed properties:
* ΔE_f (raw): -0.9056 eV per atom
* theoretical density: 5.86 Mg/m³

Cell: 6.9109 6.9959 9.0289 Å, 90.00 107.02 90.00°
With the nearest neighbours (Å) after each atom.
Space group P2_1/m (No. 11)
Unique sites:
Nd1 0.2335 0.2500 0.0562 (multiplicity 2)  6 Se 3.00-3.07
Tl1 0.2510 0.2500 0.5662 (multiplicity 2)  8 Se 3.32-3.70
Ge1 0.2230 0.7500 0.8174 (multiplicity 2)  4 Se 2.35-2.38
Se1 0.0078 0.5116 0.2219 (multiplicity 4)  1 Ge 2.38
Se2 0.4200 0.7500 0.0827 (multiplicity 2)  1 Ge 2.38
Se3 0.4250 0.7500 0.6486 (multiplicity 2)  1 Ge 2.35

Number 1: volume 23.2 A^3/atom. Number 2: volume 18.7 A^3/atom. Number 3: volume 24.1 A^3/atom. Number 4: volume 17.8 A^3/atom. Number 5: volume 23.9 A^3/atom. Number 6: volume 31.5 A^3/atom. Number 7: volume 20.6 A^3/atom. Number 8: volume 29.8 A^3/atom.